Version w
{
  "formula": "LiZrGaIr",
  "functional": "PBE-GGA",
  "state": "relaxed",
  "cell": [[4.459, 0.000, 0.000], [0.000, 4.459, 0.000], [0.000, 0.000, 6.310]],
  "species": ["Zr", "Zr", "Ir", "Ir", "Ga", "Ga", "Li", "Li"],
  "fractional_positions": [[0.500, 0.500, 0.500], [0.000, 0.000, 0.000], [0.500, 0.000, 0.249], [0.000, 0.500, 0.751], [0.500, 0.500, 0.000], [0.000, 0.000, 0.500], [0.500, 0.000, 0.751], [0.000, 0.500, 0.249]],
  "crystal_system": "tetragonal"
}


Version x
{
  "formula": "LiZrGaIr",
  "functional": "PBE-GGA",
  "state": "relaxed",
  "cell": [[0.000, 3.195, 3.195], [3.195, 0.000, 3.195], [3.195, 3.195, 0.000]],
  "species": ["Zr", "Ga", "Ir", "Li"],
  "fractional_positions": [[0.250, 0.250, 0.250], [0.500, 0.500, 0.500], [0.000, 0.000, 0.000], [0.750, 0.750, 0.750]],
  "crystal_system": "cubic"
}


Which one sits at the top of the stability order? version w does.


Version w
{
  "formula": "GaIrNO",
  "functional": "PBE-GGA",
  "state": "relaxed",
  "cell": [[-0.994, 2.695, -2.396], [1.324, -2.039, -2.843], [-6.011, -2.873, -0.738]],
  "species": ["O", "O", "N", "N", "Ga", "Ga", "Ir", "Ir"],
  "fractional_positions": [[0.750, 0.250, 0.000], [0.250, 0.750, 0.000], [0.250, 0.250, 0.649], [0.750, 0.750, 0.351], [0.750, 0.750, 0.878], [0.250, 0.250, 0.122], [0.750, 0.250, 0.500], [0.250, 0.750, 0.500]],
  "crystal_system": "tetragonal"
}


Version x
{
  "formula": "GaIrNO",
  "functional": "PBE-GGA",
  "state": "relaxed",
  "cell": [[5.537, 0.000, 0.000], [0.000, 6.646, 0.000], [0.000, 0.000, 5.113]],
  "species": ["Ga", "Ga", "Ga", "Ga", "O", "O", "O", "O", "Ir", "Ir", "Ir", "Ir", "N", "N", "N", "N"],
  "fractional_positions": [[0.892, 0.907, 0.467], [0.108, 0.093, 0.967], [0.608, 0.907, 0.967], [0.392, 0.093, 0.467], [0.069, 0.705, 0.650], [0.569, 0.295, 0.650], [0.431, 0.705, 0.150], [0.931, 0.295, 0.150], [0.990, 0.562, 0.987], [0.490, 0.438, 0.987], [0.510, 0.562, 0.487], [0.010, 0.438, 0.487], [0.928, 0.865, 0.099], [0.572, 0.865, 0.599], [0.428, 0.135, 0.099], [0.072, 0.135, 0.599]],
  "crystal_system": "orthorhombic"
}


Which one sits at the top of the stability order? version x does.


Version w
{
  "formula": "NaNbGaIr",
  "functional": "PBE-GGA",
  "state": "relaxed",
  "cell": [[1.014, -3.508, 2.595], [-3.015, -1.576, 2.914], [-1.958, -3.963, -0.726]],
  "species": ["Ga", "Ir", "Na", "Nb"],
  "fractional_positions": [[0.000, 0.000, 0.000], [0.250, 0.250, 0.250], [0.750, 0.750, 0.750], [0.500, 0.500, 0.500]],
  "crystal_system": "cubic"
}


Version x
{
  "formula": "NaNbGaIr",
  "functional": "PBE-GGA",
  "state": "relaxed",
  "cell": [[-1.906, -0.528, 4.088], [-3.279, 2.832, 1.359], [-4.281, -1.477, 0.336]],
  "species": ["Ga", "Nb", "Ir", "Na"],
  "fractional_positions": [[0.500, 0.500, 0.500], [0.250, 0.250, 0.250], [0.000, 0.000, 0.000], [0.750, 0.750, 0.750]],
  "crystal_system": "cubic"
}


Which one sits at the top of the stability order? version w does.